TaGa3Ni4 after structural relaxation, computed with GGA-PBE.

The structure in extended XYZ format:
```
8
Lattice="3.9937 0.0000 1.1789 1.8229 3.5535 1.1789 0.0049 0.0030 7.3375" Properties=species:S:1:pos:R:3 pbc="T T T"
Ni 5.0896 3.1093 4.8206
Ni 3.5997 2.1991 2.5137
Ni 2.2218 1.3573 7.1816
Ni 0.7319 0.4471 4.8747
Ga 2.9108 1.7782 4.8476
Ta 0.0000 0.0000 0.0000
Ga 4.3463 2.6552 7.3386
Ga 1.4752 0.9012 2.3566
```

## Properties
N(E_F)	0.561	states/eV/atom
raw total energy	-5.84	eV/atom
calculated formation energy	-0.33	eV/atom
spin magnetization	0.0	Bohr magnetons per cell

CsNpCuS2 after structural relaxation, computed with GGA-PBE.

The structure in extended XYZ format:
```
10
Lattice="5.9242 0.0000 0.0000 0.0000 5.6045 0.0000 0.0000 -2.8023 7.8795" Properties=species:S:1:pos:R:3 pbc="T T T"
Np 2.9621 1.4011 0.0000
Cs 1.4025 2.8023 3.9398
S 4.4606 2.8023 6.1773
Np 2.9621 4.2034 0.0000
Cu 0.0000 2.8023 0.0000
S 1.4636 0.0000 6.1773
Cu 0.0000 0.0000 0.0000
S 4.4606 2.8023 1.7022
S 1.4636 0.0000 1.7022
Cs 4.5217 0.0000 3.9398
```

## Properties
N(E_F)	1.837	states/eV/atom
raw total energy	-5.78	eV/atom
spin magnetization	0.5	Bohr magnetons per cell
formation energy without anion corrections	-0.5536	eV per atom

NiMo2Os after structural relaxation, computed with GGA-PBE.

The structure in extended XYZ format:
```
4
Lattice="-3.1078 -0.0701 -3.5813 -0.9690 -1.7900 -4.2833 -2.5534 -3.6338 1.1232" Properties=species:S:1:pos:R:3 pbc="T T T"
Ni -4.9727 -4.1204 -5.0560
Mo -3.3195 -2.7594 -3.3533
Os -1.6576 -1.3735 -1.6853
Mo -2.5491 -3.6213 1.1059
```

## Properties
N(E_F)	1.143	states/eV/atom
raw total energy	-9.50	eV/atom
calculated formation energy	0.17	eV/atom
offset from the most stable computed form	0.182	eV per atom
spin magnetization	0.0	Bohr magnetons per cell

MgIn7Pb12 after structural relaxation, computed with GGA-PBE.

The structure in extended XYZ format:
```
20
Lattice="10.5538 0.0000 3.6978 -4.8104 6.7703 2.4563 0.9329 0.0000 8.6104" Properties=species:S:1:pos:R:3 pbc="T T T"
Pb -2.4936 5.0605 4.3100
In -1.0253 2.7444 1.3245
Pb 6.2091 3.5276 10.4566
Pb 2.3149 1.7064 1.8591
Pb 4.2686 1.7658 4.7315
In 1.4817 0.0039 5.4424
Pb 4.2271 0.0034 7.6747
Pb -0.5456 5.0084 7.1890
Pb 9.1698 1.7098 10.4546
Pb 4.3613 5.0638 12.9054
Pb 0.4672 3.2426 4.3079
In 5.2769 0.0000 1.8489
Pb 7.2219 1.7618 7.5756
Mg 0.0000 0.0000 0.0000
Pb 2.4077 5.0044 10.0331
In 4.7203 4.0219 7.4722
Pb 2.4492 6.7669 7.0898
In 7.7016 4.0258 13.4400
In 5.1946 6.7663 9.3221
In 1.9560 2.7484 7.2924
```

## Properties
N(E_F)	0.345	states/eV/atom
raw total energy	-3.24	eV/atom
calculated formation energy	0.02	eV/atom
spin magnetization	0.0	Bohr magnetons per cell

Pm2NdInC after structural relaxation, computed with GGA-PBE.

The structure in extended XYZ format:
```
5
Lattice="-0.9057 -1.8932 -4.6800 4.9763 0.2074 -1.0469 0.5756 -4.7255 1.8002" Properties=species:S:1:pos:R:3 pbc="T T T"
In 2.3231 -3.2057 -1.9633
Pm 2.4882 0.1037 -0.5234
Pm 0.2878 -2.3628 0.9001
Nd -0.4528 -0.9466 -2.3400
C 0.0000 0.0000 0.0000
```

## Properties
N(E_F)	0.401	states/eV/atom
raw total energy	-5.59	eV/atom
calculated formation energy	-0.35	eV/atom
spin magnetization	0.0	Bohr magnetons per cell

BaMgBe3 after structural relaxation, computed with GGA-PBE.

The structure in extended XYZ format:
```
5
Lattice="-3.9207 3.5682 -0.8766 -3.6739 -3.7876 1.0146 0.0559 1.3397 5.2033" Properties=species:S:1:pos:R:3 pbc="T T T"
Mg -3.7693 0.5601 2.6707
Be 0.0280 0.6698 2.6017
Ba 0.0000 0.0000 0.0000
Be -1.8369 -1.8938 0.5073
Be -1.9604 1.7841 -0.4383
```

## Properties
N(E_F)	0.866	states/eV/atom
raw total energy	-0.93	eV/atom
calculated formation energy	2.01	eV/atom
offset from the most stable computed form	1.090	eV per atom
spin magnetization	0.0	Bohr magnetons per cell